No. 1
Entry from the Alexandria database: a relaxed structure of ZrTlMo2 (PBE-GGA).

abc: 4.7362 4.7362 4.7362
angles: 60.00 60.00 60.00
Closest atoms and distances in Å follow each position.
Atoms (fractional coordinates):
Zr 0.0000 0.0000 0.0000  8 Mo 2.90
Tl 0.5000 0.5000 0.5000  8 Mo 2.90
Mo 0.2500 0.2500 0.2500  4 Zr 2.90, 4 Tl 2.90
Mo 0.7500 0.7500 0.7500  4 Zr 2.90, 4 Tl 2.90

Values from the calculation:
Its space group is Fm-3m. The value obtained for the energy relative to the lowest polymorph listed for this composition is 392 meV per atom. The calculation puts the formation energy at 207 kJ/mol of formula units.

---

No. 2
Entry from the Alexandria database: a relaxed structure of HgOs3 (PBE-GGA).

abc: 4.7365 4.7365 2.8397
angles: 90.00 90.00 90.00
Closest atoms and distances in Å follow each position.
Atoms (fractional coordinates):
Hg 0.0000 0.0000 0.0000  8 Os 2.76, 2 Hg 2.84
Os 0.0000 0.5000 0.5000  4 Hg 2.76, 6 Os 2.76-2.84
Os 0.5000 0.0000 0.5000  4 Hg 2.76, 6 Os 2.76-2.84
Os 0.5000 0.5000 0.0000  10 Os 2.76-2.84

Values from the calculation:
Its space group is P4/mmm. The value obtained for the energy relative to the lowest polymorph listed for this composition is 715 meV per atom. The calculation puts the formation energy at 428 kJ/mol of formula units.

---

No. 3
Entry from the Alexandria database: a relaxed structure of SbHIrI2 (PBE-GGA).

abc: 5.7213 5.7213 4.9486
angles: 90.00 90.00 90.00
Closest atoms and distances in Å follow each position.
Atoms (fractional coordinates):
Sb 0.0000 0.0000 0.0000  2 Ir 2.47
H 0.5000 0.5000 0.0000  8 I 3.78, 4 Sb 4.05
Ir 0.0000 0.0000 0.5000  2 Sb 2.47
I 0.0000 0.5000 0.5000  2 Ir 2.86
I 0.5000 0.0000 0.5000  2 Ir 2.86

Values from the calculation:
Its space group is P4/mmm. The value obtained for the energy relative to the lowest polymorph listed for this composition is 0 meV per atom.

---

No. 4
Entry from the Alexandria database: a relaxed structure of TaBeAs (PBE-GGA).

abc: 7.3083 7.1823 2.8371
angles: 81.22 76.22 22.56
Closest atoms and distances in Å follow each position.
Atoms (fractional coordinates):
Ta 0.0000 0.0000 0.0000  2 Be 2.47, 2 As 2.68
Be 0.6244 0.6244 0.3756  2 Ta 2.47
As 0.3547 0.3547 0.6453  4 Ta 2.68-3.00, 4 As 2.84

Values from the calculation:
Its space group is Fmm2. The value obtained for the energy relative to the lowest polymorph listed for this composition is 302 meV per atom. The calculation puts the formation energy at 80 kJ/mol of formula units.

---

No. 5
Entry from the Alexandria database: a relaxed structure of Tb8PrMg2 (PBE-GGA).

abc: 8.9182 8.9182 5.7204
angles: 102.42 102.42 121.11
Closest atoms and distances in Å follow each position.
Atoms (fractional coordinates):
Tb 0.0967 0.3222 0.6333  2 Mg 3.21-3.44, 4 Tb 3.30-3.51
Tb 0.2148 0.7852 0.0000  2 Mg 3.20, 1 Pr 3.34
Tb 0.3222 0.0967 0.6333  2 Mg 3.21-3.44, 4 Tb 3.30-3.51
Tb 0.4102 0.4102 0.2046  2 Tb 3.04-3.34, 1 Pr 3.26, 2 Mg 3.36
Tb 0.5898 0.5898 0.7954  2 Tb 3.04-3.34, 1 Pr 3.26, 2 Mg 3.36
Tb 0.6778 0.9033 0.3667  2 Mg 3.21-3.44, 4 Tb 3.30-3.51
Tb 0.7852 0.2148 0.0000  2 Mg 3.20, 1 Pr 3.34
Tb 0.9033 0.6778 0.3667  2 Mg 3.21-3.44, 4 Tb 3.30-3.51
Pr 0.0000 0.0000 0.0000  4 Tb 3.26-3.34
Mg 0.3073 0.6927 0.5000  8 Tb 3.20-3.44
Mg 0.6927 0.3073 0.5000  8 Tb 3.20-3.44

Values from the calculation:
Its space group is C2/m. The calculation puts the formation energy at 148 kJ/mol of formula units.

---

No. 6
Entry from the Alexandria database: a relaxed structure of KMn (PBE-GGA).

abc: 6.9867 6.9867 6.9821
angles: 90.00 90.00 90.00
Closest atoms and distances in Å follow each position.
Atoms (fractional coordinates):
K 0.1755 0.1755 0.0000  4 Mn 3.45-3.52, 1 K 3.47
K 0.3245 0.6755 0.5000  4 Mn 3.45-3.52, 1 K 3.47
K 0.6755 0.3245 0.5000  4 Mn 3.45-3.52, 1 K 3.47
K 0.8245 0.8245 0.0000  4 Mn 3.45-3.52, 1 K 3.47
Mn 0.1295 0.1295 0.5000  1 Mn 2.56
Mn 0.3705 0.6295 0.0000  1 Mn 2.56
Mn 0.6295 0.3705 0.0000  1 Mn 2.56
Mn 0.8705 0.8705 0.5000  1 Mn 2.56

Values from the calculation:
Its space group is P4_2/mnm. The value obtained for the energy relative to the lowest polymorph listed for this composition is 467 meV per atom. The calculation puts the formation energy at 234 kJ/mol of formula units.